Here is crystalline La2PmNd6Y3 at its relaxed geometry from Alexandria. Energies are from PBE.

```
data_La2PmNd6Y3
_space_group_name_H-M_alt 'C 1 2/m 1'
_space_group_IT_number 12
_cell_length_a 6.3538
_cell_length_b 11.0131
_cell_length_c 12.1080
_cell_angle_alpha 90.00
_cell_angle_beta 100.10
_cell_angle_gamma 90.00
loop_
_space_group_symop_operation_xyz
'x,y,z'
'-x,-y,-z'
'-x,y,-z'
'x,-y,z'
'x+1/2,y+1/2,z'
'-x+1/2,-y+1/2,-z'
'-x+1/2,y+1/2,-z'
'x+1/2,-y+1/2,z'
loop_
_atom_site_label
_atom_site_fract_x
_atom_site_fract_y
_atom_site_fract_z
La1 0.0000 0.1667 0.0000
Pm1 0.0000 0.5000 0.0000
Nd1 0.2481 0.5000 0.7458
Nd2 0.2487 0.1664 0.7458
Y1 0.0000 0.0000 0.5000
Y2 0.0000 0.3337 0.5000
```

For the volume, the calculation gives 34.76 A^3/atom. The raw total energy is -5.2018 eV/atom.


Here is crystalline LaPmNd2Y at its relaxed geometry from Alexandria. Energies are from PBE.

```
data_LaPmNd2Y
_space_group_name_H-M_alt 'P 1 2/c 1'
_space_group_IT_number 13
_cell_length_a 8.4972
_cell_length_b 6.6524
_cell_length_c 6.3624
_cell_angle_alpha 90.00
_cell_angle_beta 95.16
_cell_angle_gamma 90.00
loop_
_space_group_symop_operation_xyz
'x,y,z'
'-x,-y,-z'
'-x,y,-z+1/2'
'x,-y,z+1/2'
loop_
_atom_site_label
_atom_site_fract_x
_atom_site_fract_y
_atom_site_fract_z
La1 0.0000 0.0000 0.0000
Pm1 0.0000 0.4333 0.2500
Nd1 0.3110 0.3118 0.7198
Y1 0.5000 0.1651 0.2500
```

For the volume, the calculation gives 35.82 A^3/atom. The raw total energy is -4.8848 eV/atom.


Here is crystalline La2PmNdY5 at its relaxed geometry from Alexandria. Energies are from PBE.

```
data_La2PmNdY5
_space_group_name_H-M_alt 'I 4/m c m'
_space_group_IT_number 140
_space_group_name_Hall '-I 4 2c'
_cell_length_a 8.7428
_cell_length_b 8.7428
_cell_length_c 15.9138
_cell_angle_alpha 90.00
_cell_angle_beta 90.00
_cell_angle_gamma 90.00
loop_
_atom_site_label
_atom_site_fract_x
_atom_site_fract_y
_atom_site_fract_z
La1 0.1174 0.3826 0.0000
Pm1 0.0000 0.0000 0.2500
Nd1 0.0000 0.5000 0.2500
Y1 0.0000 0.0000 0.0000
Y2 0.2123 0.2877 0.3606
```

For the volume, the calculation gives 33.79 A^3/atom. The raw total energy is -5.5141 eV/atom.


Here is crystalline La4Pm2Nd2Y at its relaxed geometry from Alexandria. Energies are from PBE.

```
data_La4Pm2Nd2Y
_space_group_name_H-M_alt 'C 1 2/m 1'
_space_group_IT_number 12
_cell_length_a 15.6748
_cell_length_b 5.2300
_cell_length_c 8.2313
_cell_angle_alpha 90.00
_cell_angle_beta 108.70
_cell_angle_gamma 90.00
loop_
_space_group_symop_operation_xyz
'x,y,z'
'-x,-y,-z'
'-x,y,-z'
'x,-y,z'
'x+1/2,y+1/2,z'
'-x+1/2,-y+1/2,-z'
'-x+1/2,y+1/2,-z'
'x+1/2,-y+1/2,z'
loop_
_atom_site_label
_atom_site_fract_x
_atom_site_fract_y
_atom_site_fract_z
La1 0.0547 0.0000 0.3330
La2 0.2228 0.5000 0.3326
Pm1 0.1116 0.5000 0.6690
Nd1 0.1666 0.0000 0.0003
Y1 0.0000 0.5000 0.0000
```

For the volume, the calculation gives 35.51 A^3/atom. The raw total energy is -5.0064 eV/atom.


Here is crystalline LaPm5NdY2 at its relaxed geometry from Alexandria. Energies are from PBE.

```
data_LaPm5NdY2
_space_group_name_H-M_alt 'C m c 21'
_space_group_IT_number 36
_cell_length_a 5.7453
_cell_length_b 20.2473
_cell_length_c 10.7880
_cell_angle_alpha 90.00
_cell_angle_beta 90.00
_cell_angle_gamma 90.00
loop_
_space_group_symop_operation_xyz
'x,y,z'
'-x,-y,z+1/2'
'-x,y,z'
'x,-y,z+1/2'
'x+1/2,y+1/2,z'
'-x+1/2,-y+1/2,z+1/2'
'-x+1/2,y+1/2,z'
'x+1/2,-y+1/2,z+1/2'
loop_
_atom_site_label
_atom_site_fract_x
_atom_site_fract_y
_atom_site_fract_z
La1 0.0000 0.0825 0.0000
Pm1 0.0000 0.0220 0.2897
Pm2 0.0000 0.1086 0.5760
Pm3 0.0000 0.2046 0.2528
Pm4 0.0000 0.2173 0.8588
Pm5 0.0000 0.4817 0.5770
Nd1 0.0000 0.2957 0.5581
Y1 0.0000 0.3834 0.8743
Y2 0.0000 0.3890 0.2824
```

For the volume, the calculation gives 34.86 A^3/atom. The raw total energy is -5.0106 eV/atom.


Here is crystalline LaPm2Nd3Y6 at its relaxed geometry from Alexandria. Energies are from PBE.

```
data_LaPm2Nd3Y6
_space_group_name_H-M_alt 'C 1 2/m 1'
_space_group_IT_number 12
_cell_length_a 6.2996
_cell_length_b 10.9090
_cell_length_c 11.9066
_cell_angle_alpha 90.00
_cell_angle_beta 100.12
_cell_angle_gamma 90.00
loop_
_space_group_symop_operation_xyz
'x,y,z'
'-x,-y,-z'
'-x,y,-z'
'x,-y,z'
'x+1/2,y+1/2,z'
'-x+1/2,-y+1/2,-z'
'-x+1/2,y+1/2,-z'
'x+1/2,-y+1/2,z'
loop_
_atom_site_label
_atom_site_fract_x
_atom_site_fract_y
_atom_site_fract_z
La1 0.0000 0.0000 0.0000
Pm1 0.0000 0.3334 0.0000
Nd1 0.0000 0.1669 0.5000
Nd2 0.0000 0.5000 0.5000
Y1 0.2492 0.5000 0.2505
Y2 0.2505 0.1671 0.2503
```

For the volume, the calculation gives 33.56 A^3/atom. The raw total energy is -5.6171 eV/atom.


Here is crystalline LaPm6Nd2Y3 at its relaxed geometry from Alexandria. Energies are from PBE.

```
data_LaPm6Nd2Y3
_space_group_name_H-M_alt 'C 1 2/m 1'
_space_group_IT_number 12
_cell_length_a 6.3212
_cell_length_b 10.9532
_cell_length_c 12.0669
_cell_angle_alpha 90.00
_cell_angle_beta 100.07
_cell_angle_gamma 90.00
loop_
_space_group_symop_operation_xyz
'x,y,z'
'-x,-y,-z'
'-x,y,-z'
'x,-y,z'
'x+1/2,y+1/2,z'
'-x+1/2,-y+1/2,-z'
'-x+1/2,y+1/2,-z'
'x+1/2,-y+1/2,z'
loop_
_atom_site_label
_atom_site_fract_x
_atom_site_fract_y
_atom_site_fract_z
La1 0.0000 0.0000 0.0000
Pm1 0.2491 0.0000 0.7459
Pm2 0.2486 0.3331 0.7462
Nd1 0.0000 0.3335 0.0000
Y1 0.0000 0.1669 0.5000
Y2 0.0000 0.5000 0.5000
```

For the volume, the calculation gives 34.28 A^3/atom. The raw total energy is -5.1810 eV/atom.


Here is crystalline LaPm3Nd6Y2 at its relaxed geometry from Alexandria. Energies are from PBE.

```
data_LaPm3Nd6Y2
_space_group_name_H-M_alt 'C 1 2/m 1'
_space_group_IT_number 12
_cell_length_a 6.3488
_cell_length_b 10.9951
_cell_length_c 12.1436
_cell_angle_alpha 90.00
_cell_angle_beta 100.07
_cell_angle_gamma 90.00
loop_
_space_group_symop_operation_xyz
'x,y,z'
'-x,-y,-z'
'-x,y,-z'
'x,-y,z'
'x+1/2,y+1/2,z'
'-x+1/2,-y+1/2,-z'
'-x+1/2,y+1/2,-z'
'x+1/2,-y+1/2,z'
loop_
_atom_site_label
_atom_site_fract_x
_atom_site_fract_y
_atom_site_fract_z
La1 0.0000 0.0000 0.0000
Pm1 0.0000 0.1671 0.5000
Pm2 0.0000 0.5000 0.5000
Nd1 0.2503 0.0000 0.7498
Nd2 0.2503 0.1669 0.2500
Y1 0.0000 0.3335 0.0000
```

For the volume, the calculation gives 34.78 A^3/atom. The raw total energy is -5.0449 eV/atom.